(1)
## Co3BiP (PBE)

Data for an optimized crystal structure of Co3BiP.

Energy relative to the lowest polymorph listed for this composition   0.000 eV per atom
Calculated volume   77.4 Å³/f.u.
Energy relative to the elements   0.166 eV per atom
Crystal system   cubic

Lattice parameters (Å, degrees): 4.262 4.262 4.262 90.00 90.00 90.00
Space group Pm-3m (No. 221)
Symmetry-distinct sites (fractional):
Co (0.000, 0.000, 0.500) [3 per cell]
Bi (0.500, 0.500, 0.500) [1 per cell]
P (0.000, 0.000, 0.000) [1 per cell]

(2)
## TlPdSe2 (PBE)

Data for an optimized crystal structure of TlPdSe2.

Calculated volume   122.2 Å³/f.u.
Energy relative to the elements, uncorrected   -223 meV per atom
Crystal system   orthorhombic

Lattice parameters (Å, degrees): 4.761 14.297 7.182 90.00 90.00 90.00
Space group Cmcm (No. 63)
Symmetry-distinct sites (fractional):
Tl (0.000, 0.180, 0.250) [4 per cell]
Pd (0.000, 0.496, 0.250) [4 per cell]
Se (0.000, 0.383, 0.505) [8 per cell]

(3)
## Te2As2Pd (PBE)

Data for an optimized crystal structure of Te2As2Pd.

Calculated volume   119.7 Å³/f.u.
Energy relative to the elements, uncorrected   237 meV per atom
Crystal system   tetragonal

Lattice parameters (Å, degrees): 7.571 7.571 4.178 90.00 90.00 90.00
Space group P4/mbm (No. 127)
Symmetry-distinct sites (fractional):
Te (0.160, 0.340, 0.000) [4 per cell]
As (0.179, 0.679, 0.500) [4 per cell]
Pd (0.000, 0.000, 0.500) [2 per cell]

(4)
## PrGdCdRh (PBE)

Data for an optimized crystal structure of PrGdCdRh.

Calculated volume   98.7 Å³/f.u.
Energy relative to the elements   -0.442 eV per atom
Crystal system   cubic

Lattice parameters (Å, degrees): 7.337 7.337 7.337 90.00 90.00 90.00
Space group F-43m (No. 216)
Symmetry-distinct sites (fractional):
Pr (0.000, 0.000, 0.000) [4 per cell]
Gd (0.000, 0.000, 0.500) [4 per cell]
Cd (0.250, 0.250, 0.250) [4 per cell]
Rh (0.250, 0.250, 0.750) [4 per cell]

(5)
## VTePN2 (PBE)

Data for an optimized crystal structure of VTePN2.

Energy relative to the lowest polymorph listed for this composition   0.575 eV per atom
Calculated volume   87.6 Å³/f.u.
Energy relative to the elements, uncorrected   1223 meV per atom
Crystal system   tetragonal

Lattice parameters (Å, degrees): 3.543 3.543 6.982 90.00 90.00 90.00
Space group P4/mmm (No. 123)
Symmetry-distinct sites (fractional):
V (0.000, 0.000, 0.000) [1 per cell]
Te (0.500, 0.500, 0.000) [1 per cell]
P (0.500, 0.500, 0.500) [1 per cell]
N (0.000, 0.500, 0.500) [2 per cell]

(6)
## NbZnRu3 (PBE)

Data for an optimized crystal structure of NbZnRu3.

Energy relative to the lowest polymorph listed for this composition   0.797 eV per atom
Calculated volume   86.3 Å³/f.u.
Energy relative to the elements   1.215 eV per atom
Crystal system   cubic

Lattice parameters (Å, degrees): 4.419 4.419 4.419 90.00 90.00 90.00
Space group Pm-3m (No. 221)
Symmetry-distinct sites (fractional):
Nb (0.000, 0.000, 0.000) [1 per cell]
Zn (0.500, 0.500, 0.500) [1 per cell]
Ru (0.000, 0.500, 0.500) [3 per cell]

(7)
## Ho6CdHg (PBE)

Data for an optimized crystal structure of Ho6CdHg.

Calculated volume   248.0 Å³/f.u.
Energy relative to the elements   0.110 eV per atom
Crystal system   monoclinic

Lattice parameters (Å, degrees): 6.863 12.074 6.873 90.00 119.45 90.00
Space group C2/m (No. 12)
Symmetry-distinct sites (fractional):
Ho (0.247, 0.000, 0.251) [4 per cell]
Ho (0.247, 0.208, 0.751) [8 per cell]
Cd (0.000, 0.500, 0.000) [2 per cell]
Hg (0.000, 0.000, 0.500) [2 per cell]

(8)
## MnTe2Rh (PBE)

Data for an optimized crystal structure of MnTe2Rh.

Calculated volume   110.4 Å³/f.u.
Energy relative to the elements, uncorrected   14 meV per atom
Crystal system   tetragonal

Lattice parameters (Å, degrees): 5.984 5.984 12.332 90.00 90.00 90.00
Space group I-42d (No. 122)
Symmetry-distinct sites (fractional):
Mn (0.000, 0.000, 0.000) [4 per cell]
Te (0.239, 0.250, 0.625) [8 per cell]
Rh (0.000, 0.000, 0.500) [4 per cell]